The following is a GGA-PBE calculation of an optimized crystal structure of NaBeBr3, from Alexandria via LeMat-Bulk.

Calculated values
E_form (uncorrected): -6.10 eV per formula unit
Crystal system: monoclinic
Polymorph energy (0 for the lowest one): 0 meV/atom
Final energy: -64.6 eV per cell

Cell lengths 7.387, 7.462, 12.900 Å; angles 90.00, 116.63, 90.00 degrees
Space group P2_1/c (No. 14)
Unique sites:
Na  0.243  0.129  0.259 x4
Be  0.373  0.587  0.387 x4
Br  0.164  0.700  0.867 x4
Br  0.309  0.149  0.977 x4
Br  0.376  0.001  0.729 x4